DFT (PBE-GGA) results for an optimized crystal structure of Rb2MgCd3Hg12.

Unit cell a=9.0866 b=9.0866 c=29.9572 alpha=90.00 beta=90.00 gamma=120.00
Last column: nearest neighbours and their distance in Å.
Space group R-3m (No. 166, hexagonal axes)
One atom of each set of equivalent atoms:
Rb (0.0000, 0.0000, 0.1425)  9 Hg 3.99-4.29
Mg (0.0000, 0.0000, 0.5000)  6 Hg 2.79
Cd (0.0000, 0.5000, 0.0000)  6 Hg 3.06-3.13
Hg (0.0870, 0.5435, 0.0996)  1 Mg 2.79, 2 Hg 3.02, 1 Cd 3.06
Hg (0.0899, 0.5450, 0.4024)  4 Hg 3.02-3.32, 2 Cd 3.13

Computed properties:
The value obtained for the formation energy is -0.5 eV per formula unit.